Entry 1:
A relaxed InReSCl2 crystal. Source: Alexandria via LeMat-Bulk, functional PBE.

Unit cell a=5.0762 b=5.0762 c=4.5008 alpha=90.00 beta=90.00 gamma=90.00
Space group P4/mmm (No. 123)
Inequivalent atoms, fractional coordinates:
In1 0.0000 0.0000 0.0000
Re1 0.5000 0.5000 0.5000
S1 0.5000 0.5000 0.0000
Cl1 0.0000 0.5000 0.5000

E above lowest polymorph   0.000 eV per atom

---

Entry 2:
A relaxed TlCdIn3Hg crystal. Source: Alexandria via LeMat-Bulk, functional PBE.

Unit cell a=9.3092 b=3.6380 c=10.0860 alpha=90.00 beta=107.94 gamma=90.00
Space group P2_1/m (No. 11)
Inequivalent atoms, fractional coordinates:
Tl1 0.1234 0.2500 0.3109
Cd1 0.3800 0.7500 0.8866
In1 0.1300 0.2500 0.9667
In2 0.3779 0.7500 0.2017
In3 0.3880 0.7500 0.5580
Hg1 0.1521 0.2500 0.6478

Formation energy from the elements   0.03 eV/atom

---

Entry 3:
A relaxed Tb3Y6Tm2Th crystal. Source: Alexandria via LeMat-Bulk, functional PBE.

Unit cell a=6.1635 b=10.6705 c=11.7985 alpha=90.00 beta=100.03 gamma=90.00
Space group C2/m (No. 12)
Inequivalent atoms, fractional coordinates:
Tb1 0.0000 0.0000 0.0000
Tb2 0.0000 0.3327 0.0000
Y1 0.2471 0.5000 0.2518
Y2 0.2488 0.3347 0.7483
Tm1 0.0000 0.1667 0.5000
Th1 0.0000 0.5000 0.5000

Formation energy from the elements   0.02 eV/atom

---

Entry 4:
A relaxed TcTeAu2 crystal. Source: Alexandria via LeMat-Bulk, functional PBE.

Unit cell a=9.0329 b=3.3526 c=5.1778 alpha=90.00 beta=101.21 gamma=90.00
Space group Cm (No. 8)
Inequivalent atoms, fractional coordinates:
Tc1 0.0000 0.0000 0.0000
Te1 0.2756 0.0000 0.8296
Au1 0.2443 0.5000 0.2855
Au2 0.4938 0.0000 0.4995

---

| no. | energy (hartree per atom) |
| --- | --- |
| 1 | -0.17252 |
| 2 | -0.07128 |
| 3 | -0.21054 |
| 4 | -0.17079 |